Entry from Alexandria via LeMat-Bulk: a relaxed structure of AlAu2Br6 (GGA-PBE).

Output
Its total energy is -2.780 eV per atom. Its crystal system is monoclinic. The value obtained for the uncorrected formation energy is -520 meV/atom. The space group is No. 15.

Lattice parameters (Å, degrees): 11.319 9.838 9.838 82.42 57.77 57.77
Fractional coordinates of all 18 atoms:
Au 0.494 0.377 0.360
Au 0.994 0.360 0.377
Br 0.235 0.133 0.125
Br 0.735 0.125 0.133
Br 0.724 0.393 0.392
Br 0.224 0.392 0.393
Au 0.006 0.640 0.623
Br 0.491 0.678 0.102
Br 0.765 0.867 0.875
Br 0.009 0.898 0.322
Br 0.509 0.322 0.898
Au 0.506 0.623 0.640
Br 0.991 0.102 0.678
Al 0.250 0.878 0.122
Br 0.276 0.607 0.608
Al 0.750 0.122 0.878
Br 0.265 0.875 0.867
Br 0.776 0.608 0.607